1.
Entry from Alexandria: HfTiTeN2 at its PBEsol-relaxed geometry (SCAN).

Output
Formation energy (no corrections), eV per atom: 0.07
DOS(E_F), states/eV/f.u.: 2.50
Spin magnetization, μB per atom: 0.020

a b c (Å): 4.0894 4.0894 5.6790
angles (deg): 90.00 90.00 90.00
Positions (direct):
Hf 0.0000 0.0000 0.0000
Ti 0.5000 0.5000 0.5000
Te 0.0000 0.0000 0.5000
N 0.0000 0.5000 0.0000
N 0.5000 0.0000 0.0000

2.
Entry from Alexandria: HfTiTeN2 at its PBEsol-relaxed geometry (SCAN).

Output
Formation energy (no corrections), eV per atom: 0.18
DOS(E_F), states/eV/f.u.: 3.36
Spin magnetization, μB per atom: 0.001

a b c (Å): 3.9592 3.9592 5.2429
angles (deg): 90.00 90.00 90.00
Positions (direct):
Hf 0.0000 0.0000 0.0000
Ti 0.5000 0.5000 0.5000
Te 0.5000 0.5000 0.0000
N 0.0000 0.5000 0.5000
N 0.5000 0.0000 0.5000

3.
Entry from Alexandria: HfTlTe2N at its PBEsol-relaxed geometry (SCAN).

Output
Formation energy (no corrections), eV per atom: -0.22
DOS(E_F), states/eV/f.u.: 3.44
Spin magnetization, μB per atom: 0.000

a b c (Å): 5.7628 5.7628 3.9678
angles (deg): 90.00 90.00 90.00
Positions (direct):
Hf 0.0000 0.0000 0.0000
Tl 0.5000 0.5000 0.5000
Te 0.0000 0.5000 0.0000
Te 0.5000 0.0000 0.0000
N 0.0000 0.0000 0.5000

4.
Entry from Alexandria: HfTeWN2 at its PBEsol-relaxed geometry (SCAN).

Output
Formation energy (no corrections), eV per atom: 1.02
DOS(E_F), states/eV/f.u.: 4.04
Spin magnetization, μB per atom: 0.400

a b c (Å): 4.0725 4.0725 5.7566
angles (deg): 90.00 90.00 90.00
Positions (direct):
Hf 0.0000 0.0000 0.0000
Te 0.0000 0.0000 0.5000
W 0.5000 0.5000 0.5000
N 0.0000 0.5000 0.0000
N 0.5000 0.0000 0.0000

5.
Entry from Alexandria: HfZn2TeN at its PBEsol-relaxed geometry (SCAN).

Output
Formation energy (no corrections), eV per atom: 1.37
DOS(E_F), states/eV/f.u.: 4.17
Spin magnetization, μB per atom: 0.000

a b c (Å): 5.0921 5.0921 3.9697
angles (deg): 90.00 90.00 90.00
Positions (direct):
Hf 0.0000 0.0000 0.0000
Zn 0.0000 0.5000 0.5000
Zn 0.5000 0.0000 0.5000
Te 0.5000 0.5000 0.5000
N 0.5000 0.5000 0.0000

6.
Entry from Alexandria: Hf2TlN at its PBEsol-relaxed geometry (SCAN).

Output
Formation energy (no corrections), eV per atom: 0.58
DOS(E_F), states/eV/f.u.: 2.63
Spin magnetization, μB per atom: 0.000

a b c (Å): 4.6010 4.6010 4.6010
angles (deg): 60.00 60.00 60.00
Positions (direct):
Hf 0.2500 0.2500 0.2500
Hf 0.7500 0.7500 0.7500
Tl 0.0000 0.0000 0.0000
N 0.5000 0.5000 0.5000

7.
Entry from Alexandria: YHf2N2 at its PBEsol-relaxed geometry (SCAN).

Output
Formation energy (no corrections), eV per atom: -1.24
DOS(E_F), states/eV/f.u.: 2.83
Spin magnetization, μB per atom: 0.000

a b c (Å): 6.3699 6.3699 6.3699
angles (deg): 141.63 141.63 55.39
Positions (direct):
Y 0.0000 0.0000 0.0000
Hf 0.2500 0.7500 0.5000
Hf 0.7500 0.2500 0.5000
N 0.2054 0.2054 0.0000
N 0.7946 0.7946 0.0000

8.
Entry from Alexandria: Y2HfN2 at its PBEsol-relaxed geometry (SCAN).

Output
Formation energy (no corrections), eV per atom: -1.13
DOS(E_F), states/eV/f.u.: 2.82
Spin magnetization, μB per atom: 0.000

a b c (Å): 6.1342 6.1342 6.1342
angles (deg): 136.36 136.36 63.42
Positions (direct):
Y 0.2500 0.7500 0.5000
Y 0.7500 0.2500 0.5000
Hf 0.0000 0.0000 0.0000
N 0.1945 0.1945 0.0000
N 0.8055 0.8055 0.0000

> Which formula does entry 8 have?

Y2HfN2

> Number 1 is which compound?

HfTiTeN2

> Look up the formation energy (no corrections) of the second one.

0.18 eV per atom

> The lowest DOS(E_F) belongs to which entry?

number 1